Crystalline Ba2TmNb3O12 at its relaxed geometry, computed with PBE.

Calculated values
calculated volume	16.1	A^3/atom
uncorrected formation energy	-2.53	eV per atom

The structure in POSCAR format:
```
Ba2TmNb3O12
1.0
-3.457 0.631 6.311
-4.203 -5.564 1.885
2.449 -4.143 5.386
O Ba Tm Nb
12 2 1 3
direct
0.706 0.081 0.706 O
0.111 0.630 0.111 O
0.889 0.889 0.370 O
0.919 0.294 0.294 O
0.630 0.111 0.111 O
0.370 0.889 0.889 O
0.706 0.706 0.081 O
0.294 0.919 0.294 O
0.111 0.111 0.630 O
0.081 0.706 0.706 O
0.294 0.294 0.919 O
0.889 0.370 0.889 O
0.367 0.367 0.367 Ba
0.633 0.633 0.633 Ba
0.000 0.000 0.000 Tm
0.000 0.500 0.000 Nb
0.500 0.000 0.000 Nb
0.000 0.000 0.500 Nb
```

---

Crystalline Ba3TmNb2O9 at its relaxed geometry, computed with PBE.

Calculated values
calculated volume	15.0	A^3/atom
uncorrected formation energy	-2.96	eV per atom

The structure in POSCAR format:
```
Ba3TmNb2O9
1.0
-2.102 3.697 -4.181
-3.759 -2.672 3.780
0.666 5.615 4.630
O Ba Tm Nb
9 3 1 2
direct
0.000 0.500 0.000 O
0.347 0.173 0.678 O
0.173 0.827 0.322 O
0.173 0.347 0.322 O
0.500 0.000 0.000 O
0.500 0.500 0.000 O
0.827 0.173 0.678 O
0.827 0.653 0.678 O
0.653 0.827 0.322 O
0.000 0.000 0.000 Ba
0.667 0.333 0.331 Ba
0.333 0.667 0.669 Ba
0.000 0.000 0.500 Tm
0.667 0.333 0.834 Nb
0.333 0.667 0.166 Nb
```

---

Crystalline BaUNbO6 at its relaxed geometry, computed with PBE.

Calculated values
calculated volume	17.5	A^3/atom
uncorrected formation energy	-3.00	eV per atom

The structure in POSCAR format:
```
BaUNbO6
1.0
5.668 0.000 0.000
-2.834 4.909 0.000
0.000 0.000 11.321
U O Ba Nb
2 12 2 2
direct
0.333 0.667 0.250 U
0.667 0.333 0.750 U
0.390 0.017 0.151 O
0.983 0.373 0.151 O
0.983 0.610 0.349 O
0.017 0.627 0.849 O
0.610 0.983 0.849 O
0.627 0.610 0.151 O
0.390 0.373 0.349 O
0.373 0.983 0.651 O
0.373 0.390 0.849 O
0.627 0.017 0.349 O
0.017 0.390 0.651 O
0.610 0.627 0.651 O
0.000 0.000 0.000 Ba
0.000 0.000 0.500 Ba
0.333 0.667 0.750 Nb
0.667 0.333 0.250 Nb
```

---

Crystalline Ba4UNb3O12 at its relaxed geometry, computed with PBE.

Calculated values
calculated volume	15.1	A^3/atom
uncorrected formation energy	-2.81	eV per atom

The structure in POSCAR format:
```
Ba4UNb3O12
1.0
-1.395 1.042 7.110
-6.228 -1.591 -3.501
4.718 -5.543 -0.774
O Nb Ba U
12 3 4 1
direct
0.500 0.250 0.750 O
0.750 0.250 0.500 O
0.256 0.000 0.256 O
0.250 0.750 0.500 O
0.256 0.256 0.000 O
0.500 0.750 0.250 O
0.250 0.500 0.750 O
0.750 0.500 0.250 O
0.744 0.744 0.000 O
0.000 0.744 0.744 O
0.744 0.000 0.744 O
0.000 0.256 0.256 O
0.500 0.500 0.000 Nb
0.500 0.000 0.500 Nb
0.000 0.500 0.500 Nb
0.500 0.000 0.000 Ba
0.000 0.500 0.000 Ba
0.000 0.000 0.500 Ba
0.500 0.500 0.500 Ba
0.000 0.000 0.000 U
```

---

Crystalline Ba2UNbO6 at its relaxed geometry, computed with PBE.

Calculated values
calculated volume	16.0	A^3/atom
uncorrected formation energy	-2.88	eV per atom

The structure in POSCAR format:
```
Ba2UNbO6
1.0
4.299 0.000 0.000
0.000 4.299 0.000
0.000 0.000 8.644
O Ba U Nb
6 2 1 1
direct
0.000 0.500 0.000 O
0.500 0.500 0.744 O
0.500 0.000 0.500 O
0.500 0.000 0.000 O
0.500 0.500 0.256 O
0.000 0.500 0.500 O
0.000 0.000 0.274 Ba
0.000 0.000 0.726 Ba
0.500 0.500 0.000 U
0.500 0.500 0.500 Nb
```

---

Q: What is the formula in the second record?
A: Ba3TmNb2O9

---

Q: Among the records above, which one has the lowest uncorrected formation energy?
A: BaUNbO6

---

Q: Among the records above, which one has the highest calculated volume?
A: BaUNbO6

---

Q: The lowest uncorrected formation energy belongs to which entry?
A: BaUNbO6